No. 1
## MnRe2Tc (PBE)

Data for crystalline MnRe2Tc at its relaxed geometry.

Summary:
* E_tot: -10.915 eV/atom
* size of the total moment: 1.8 μB/cell
* E above lowest polymorph: 0.120 eV/atom
* Fermi-level density of states: 1.136 states/eV/atom

Unit cell a=2.657 b=2.657 c=8.493 alpha=90.00 beta=90.00 gamma=107.63
Positions (direct):
Mn 0.500 0.500 0.750
Re 0.000 0.000 0.511
Re 0.000 0.000 0.989
Tc 0.500 0.500 0.250

---

No. 2
## MnRe2Tc (PBE)

Data for crystalline MnRe2Tc at its relaxed geometry.

Summary:
* E_tot: -10.924 eV/atom
* size of the total moment: 2.7 μB/cell
* E above lowest polymorph: 0.112 eV/atom
* Fermi-level density of states: 0.817 states/eV/atom

Unit cell a=4.266 b=4.266 c=3.154 alpha=90.00 beta=90.00 gamma=90.00
Positions (direct):
Re 0.500 0.500 0.000
Re 0.000 0.000 0.000
Mn 0.000 0.500 0.500
Tc 0.500 0.000 0.500

---

No. 3
## MnRe4Tc (PBE)

Data for crystalline MnRe4Tc at its relaxed geometry.

Summary:
* E_tot: -11.169 eV/atom
* size of the total moment: 2.5 μB/cell
* Fermi-level density of states: 1.092 states/eV/atom

Unit cell a=5.124 b=5.124 c=5.124 alpha=60.00 beta=60.00 gamma=60.00
Positions (direct):
Re 0.626 0.626 0.626
Re 0.122 0.626 0.626
Re 0.626 0.122 0.626
Re 0.626 0.626 0.122
Mn 0.000 0.000 0.000
Tc 0.250 0.250 0.250

---

No. 4
## MnRe2Tc (PBE)

Data for crystalline MnRe2Tc at its relaxed geometry.

Summary:
* E_tot: -10.815 eV/atom
* size of the total moment: 0.0 μB/cell
* E above lowest polymorph: 0.221 eV/atom
* Fermi-level density of states: 1.795 states/eV/atom

Unit cell a=4.300 b=4.300 c=4.300 alpha=60.00 beta=60.00 gamma=60.00
Positions (direct):
Re 0.750 0.750 0.750
Re 0.250 0.250 0.250
Mn 0.000 0.000 0.000
Tc 0.500 0.500 0.500

---

No. 5
## MnRe2Tc (PBE)

Data for crystalline MnRe2Tc at its relaxed geometry.

Summary:
* E_tot: -10.993 eV/atom
* size of the total moment: 2.8 μB/cell
* E above lowest polymorph: 0.042 eV/atom
* Fermi-level density of states: 0.903 states/eV/atom

Unit cell a=5.072 b=5.072 c=5.072 alpha=144.48 beta=129.89 gamma=62.92
Positions (direct):
Mn 0.250 0.750 0.500
Tc 0.750 0.250 0.500
Re 0.493 0.493 0.000
Re 0.007 0.007 0.000

---

No. 6
## MnRe2Tc (PBE)

Data for crystalline MnRe2Tc at its relaxed geometry.

Summary:
* E_tot: -11.012 eV/atom
* size of the total moment: 1.2 μB/cell
* E above lowest polymorph: 0.024 eV/atom
* Fermi-level density of states: 0.970 states/eV/atom

Unit cell a=2.727 b=3.809 c=5.436 alpha=90.00 beta=90.00 gamma=90.00
Positions (direct):
Mn 0.500 0.500 0.750
Tc 0.000 0.000 0.511
Re 0.000 0.000 0.988
Re 0.500 0.500 0.252

---

No. 7
## Mn2Re2Tc (PBE)

Data for crystalline Mn2Re2Tc at its relaxed geometry.

Summary:
* E_tot: -10.550 eV/atom
* size of the total moment: 0.0 μB/cell
* Fermi-level density of states: 1.135 states/eV/atom

Unit cell a=6.949 b=6.949 c=2.794 alpha=90.00 beta=90.00 gamma=90.00
Positions (direct):
Mn 0.130 0.370 0.000
Mn 0.630 0.130 0.000
Mn 0.370 0.870 0.000
Mn 0.870 0.630 0.000
Re 0.332 0.168 0.500
Re 0.668 0.832 0.500
Re 0.168 0.668 0.500
Re 0.832 0.332 0.500
Tc 0.500 0.500 0.000
Tc 0.000 0.000 0.000

---

No. 8
## MnRe2Tc (PBE)

Data for crystalline MnRe2Tc at its relaxed geometry.

Summary:
* E_tot: -11.005 eV/atom
* size of the total moment: 1.3 μB/cell
* E above lowest polymorph: 0.031 eV/atom
* Fermi-level density of states: 1.159 states/eV/atom

Unit cell a=4.689 b=4.689 c=2.729 alpha=90.00 beta=90.00 gamma=109.20
Positions (direct):
Re 0.000 0.000 0.000
Re 0.500 0.500 0.000
Tc 0.500 0.000 0.500
Mn 0.000 0.500 0.500

---

no.,ΔE_f (meV/atom)
1,192
2,184
3,386
4,293
5,115
6,96
7,170
8,103